# Cs2NbNi2S4

A geometry-optimized Cs2NbNi2S4 structure (PBE-GGA, the Alexandria database).

The value obtained for the calculated volume is 21.8 A^3/atom. The calculation puts the total energy at -5.255 eV per atom. For the energy relative to the elements, uncorrected, the calculation gives -0.827 eV per atom. For the total magnetization, the calculation gives 0.000 μB per atom. As for the density of states at the Fermi level: 4.99 states/eV/f.u. The value obtained for the mass density is 5111 kg/m³.

Unit cell a=13.5861 b=3.6779 c=8.1623 alpha=90.00 beta=105.66 gamma=90.00
Space group C2/m (No. 12)
Asymmetric unit:
Cs1 0.1404 0.0000 0.0655 [4 per cell]
Nb1 0.0000 0.0000 0.5000 [2 per cell]
Ni1 0.1684 0.5000 0.4826 [4 per cell]
S1 0.0166 0.5000 0.2895 [4 per cell]
S2 0.1926 0.0000 0.6437 [4 per cell]